(1)
First-principles (PBE) data for a relaxed structure of AcNdGdPb, as listed in the Alexandria database.

Cell lengths 5.703, 5.703, 5.703 Å; angles 60.00, 60.00, 60.00 degrees
Atoms (fractional coordinates):
Ac (0.000, 0.000, 0.000)
Nd (0.750, 0.750, 0.750)
Gd (0.250, 0.250, 0.250)
Pb (0.500, 0.500, 0.500)

Values from the calculation:
The calculation puts the total magnetization at 7.87 μB per formula unit. The value obtained for the density of states at the Fermi level is 5.7 states/eV/f.u. Its symmetry is No. 216.

(2)
First-principles (PBE) data for a relaxed structure of SmPuGe, as listed in the Alexandria database.

Cell lengths 4.896, 4.896, 3.692 Å; angles 90.00, 90.00, 120.00 degrees
Atoms (fractional coordinates):
Sm (0.000, 0.000, 0.000)
Pu (0.667, 0.333, 0.575)
Ge (0.333, 0.667, 0.305)

Values from the calculation:
The calculation puts the total magnetization at 6.05 μB per formula unit. The value obtained for the density of states at the Fermi level is 6.9 states/eV/f.u. Its symmetry is No. 156. The calculation puts the distance to the lowest polymorph of the same formula at 0.0475 eV per atom.

(3)
First-principles (PBE) data for a relaxed structure of Ho2MnIr, as listed in the Alexandria database.

Cell lengths 9.777, 9.777, 9.777 Å; angles 22.43, 22.43, 22.43 degrees
Atoms (fractional coordinates):
Ho (0.111, 0.111, 0.111)
Ho (0.889, 0.889, 0.889)
Mn (0.000, 0.000, 0.000)
Ir (0.500, 0.500, 0.500)

Values from the calculation:
The calculation puts the total magnetization at 4.36 μB per formula unit. The value obtained for the density of states at the Fermi level is 3.6 states/eV/f.u. Its symmetry is No. 166.

(4)
First-principles (PBE) data for a relaxed structure of Tc4Ge, as listed in the Alexandria database.

Cell lengths 4.462, 4.462, 4.462 Å; angles 90.00, 90.00, 90.00 degrees
Atoms (fractional coordinates):
Tc (0.000, 0.000, 0.000)
Tc (0.000, 0.500, 0.500)
Tc (0.500, 0.000, 0.500)
Tc (0.500, 0.500, 0.000)
Ge (0.500, 0.500, 0.500)

Values from the calculation:
The calculation puts the total magnetization at 0.71 μB per formula unit. The value obtained for the density of states at the Fermi level is 4.9 states/eV/f.u. Its symmetry is No. 221.

Across the entries above, energy of formation from the pure elements takes the values -0.448; -0.645; 0.958; 7.267 eV/f.u., respectively.
Across the entries above, VASP energy takes the values -0.498; -0.596; -0.482; -0.571 Ry per atom, respectively.